Record 1
Below is crystalline LiCe2ScAs4 at its relaxed geometry, with properties calculated at the PBE level.

Summary:
The value obtained for the calculated formation energy is -1.11 eV per atom. As for the symmetry: No. 10. The density of states at the Fermi level is 2.3 states/eV per cell. The total DFT energy (no corrections) comes out at -0.437 Ry per atom.

```
LiCe2ScAs4
1.0
4.1518 0.0000 0.0000
0.0000 7.2219 0.1692
0.0000 -2.4809 6.2428
As Ce Li Sc
4 2 1 1
Direct
0.5000 0.2417 0.2355
0.0000 0.7530 0.2425
0.0000 0.2470 0.7575
0.5000 0.7583 0.7645
0.0000 0.5000 0.5000
0.5000 0.0000 0.5000
0.5000 0.5000 0.0000
0.0000 0.0000 0.0000
```


Record 2
Below is crystalline LiTbCe2As4 at its relaxed geometry, with properties calculated at the PBE level.

Summary:
The value obtained for the calculated formation energy is -1.15 eV per atom. As for the symmetry: No. 10. The total DFT energy (no corrections) comes out at -0.425 Ry per atom.

```
LiTbCe2As4
1.0
-0.9156 3.1768 2.6028
-7.0738 -1.5471 -0.6002
2.7737 -3.5949 5.3634
As Ce Li Tb
4 2 1 1
Direct
0.0000 0.7543 0.2578
0.5000 0.7504 0.7498
0.5000 0.2496 0.2502
0.0000 0.2457 0.7422
0.0000 0.5000 0.5000
0.5000 0.0000 0.5000
0.5000 0.5000 0.0000
0.0000 0.0000 0.0000
```


Record 3
Below is crystalline LiCe2ThAs4 at its relaxed geometry, with properties calculated at the PBE level.

Summary:
The value obtained for the calculated formation energy is -1.14 eV per atom. As for the symmetry: No. 10. The density of states at the Fermi level is 8.2 states/eV per cell. The total DFT energy (no corrections) comes out at -0.450 Ry per atom.

```
LiCe2ThAs4
1.0
4.2442 0.0000 0.0000
0.0000 7.2225 0.1294
0.0000 -2.5210 6.8131
Ce As Th Li
2 4 1 1
Direct
0.5000 0.0000 0.5000
0.0000 0.5000 0.5000
0.0000 0.7565 0.2584
0.0000 0.2435 0.7416
0.5000 0.2521 0.2514
0.5000 0.7479 0.7486
0.0000 0.0000 0.0000
0.5000 0.5000 0.0000
```


Record 4
Below is crystalline LiCeTh2As4 at its relaxed geometry, with properties calculated at the PBE level.

Summary:
The value obtained for the calculated formation energy is -1.16 eV per atom. As for the symmetry: No. 10. The density of states at the Fermi level is 6.3 states/eV per cell. The total DFT energy (no corrections) comes out at -0.465 Ry per atom.

```
LiCeTh2As4
1.0
4.2638 0.0000 0.0000
0.0000 7.2943 0.1357
0.0000 -2.5414 6.7991
As Th Li Ce
4 2 1 1
Direct
0.0000 0.7526 0.2513
0.5000 0.2506 0.2467
0.5000 0.7494 0.7533
0.0000 0.2474 0.7487
0.5000 0.0000 0.5000
0.0000 0.5000 0.5000
0.5000 0.5000 0.0000
0.0000 0.0000 0.0000
```


Record 5
Below is crystalline LiCe2TmAs4 at its relaxed geometry, with properties calculated at the PBE level.

Summary:
The value obtained for the calculated formation energy is -1.14 eV per atom. As for the symmetry: No. 10. The total DFT energy (no corrections) comes out at -0.423 Ry per atom.

```
LiCe2TmAs4
1.0
4.1899 0.0000 0.0000
0.0000 7.2540 0.1617
0.0000 -2.5063 6.4638
Tm Ce As Li
1 2 4 1
Direct
0.0000 0.0000 0.0000
0.0000 0.5000 0.5000
0.5000 0.0000 0.5000
0.0000 0.7539 0.2536
0.5000 0.7528 0.7544
0.0000 0.2461 0.7464
0.5000 0.2472 0.2456
0.5000 0.5000 0.0000
```


Record 6
Below is crystalline LiCe2ZrAs4 at its relaxed geometry, with properties calculated at the PBE level.

Summary:
The value obtained for the calculated formation energy is -1.08 eV per atom. As for the symmetry: No. 10. The density of states at the Fermi level is 6.4 states/eV per cell. The total DFT energy (no corrections) comes out at -0.456 Ry per atom.

```
LiCe2ZrAs4
1.0
4.0896 0.0000 0.0000
0.0000 7.1778 0.1583
0.0000 -2.4719 6.3182
As Zr Li Ce
4 1 1 2
Direct
0.0000 0.2472 0.7640
0.5000 0.7595 0.7670
0.5000 0.2405 0.2330
0.0000 0.7528 0.2360
0.0000 0.0000 0.0000
0.5000 0.5000 0.0000
0.5000 0.0000 0.5000
0.0000 0.5000 0.5000
```


Record 7
Below is crystalline CeLu2As at its relaxed geometry, with properties calculated at the PBE level.

Summary:
The value obtained for the calculated formation energy is -0.50 eV per atom. As for the symmetry: No. 123. The density of states at the Fermi level is 6.0 states/eV per cell. The total DFT energy (no corrections) comes out at -0.397 Ry per atom.

```
CeLu2As
1.0
3.6232 0.0000 0.0000
0.0000 3.6232 0.0000
0.0000 0.0000 7.6053
Ce Lu As
1 2 1
Direct
0.5000 0.5000 0.5000
0.0000 0.0000 0.2047
0.0000 0.0000 0.7953
0.5000 0.5000 0.0000
```


Record 8
Below is crystalline CeLuAs at its relaxed geometry, with properties calculated at the PBE level.

Summary:
The value obtained for the calculated formation energy is -0.68 eV per atom. As for the symmetry: No. 107. The density of states at the Fermi level is 5.3 states/eV per cell. The total DFT energy (no corrections) comes out at -0.420 Ry per atom.

```
CeLuAs
1.0
-0.5355 -2.7717 2.3693
0.6595 -2.4288 -2.6923
5.4011 2.6503 1.4547
As Lu Ce
1 1 1
Direct
0.9624 0.9624 0.9247
0.5844 0.5844 0.1688
0.3032 0.3032 0.6065
```